MnRhCl: optimized geometry, GGA-PBE.

For the total magnetization, the calculation gives 4.64 μB per formula unit. The uncorrected formation energy is 0.384 eV per atom. As for the excess energy over the best structure of this formula in the dataset: 362 meV per atom. The crystal system is cubic.

The space group is F-43m (No. 216) and the conventional cell measures 6.019, 6.019 and 6.019 Å, with angles of 90.00, 90.00 and 90.00 degrees. The asymmetric unit holds Mn at (0.000, 0.000, 0.000), Rh at (0.250, 0.250, 0.750) and Cl at (0.000, 0.000, 0.500).

---

SmHoTh2Sb4: optimized geometry, GGA-PBE.

For the total magnetization, the calculation gives 0.00 μB per formula unit. The uncorrected formation energy is -1.030 eV per atom. The crystal system is monoclinic.

The space group is P2/m (No. 10) and the conventional cell measures 7.702, 4.474 and 7.749 Å, with angles of 90.00, 109.66 and 90.00 degrees. The asymmetric unit holds Sm at (0.000, 0.000, 0.000), Ho at (0.000, 0.500, 0.500), Th at (0.500, 0.000, 0.500), Th at (0.500, 0.500, 0.000), Sb at (0.242, 0.000, 0.744) and Sb at (0.245, 0.500, 0.251).

---

Zn2RhBr: optimized geometry, GGA-PBE.

For the total magnetization, the calculation gives 0.00 μB per formula unit. The uncorrected formation energy is 0.230 eV per atom. As for the excess energy over the best structure of this formula in the dataset: 441 meV per atom. The crystal system is tetragonal.

The space group is I-42d (No. 122) and the conventional cell measures 6.065, 6.065 and 11.258 Å, with angles of 90.00, 90.00 and 90.00 degrees. The asymmetric unit holds Zn at (0.208, 0.250, 0.125), Rh at (0.000, 0.000, 0.000) and Br at (0.000, 0.000, 0.500).

---

GaAsAuC: optimized geometry, GGA-PBE.

The formation energy is 0.53 eV per atom. For the total magnetization, the calculation gives 0.00 μB per formula unit. As for the excess energy over the best structure of this formula in the dataset: 233 meV per atom. The crystal system is monoclinic.

The space group is Cm (No. 8) and the conventional cell measures 10.404, 3.194 and 4.338 Å, with angles of 90.00, 112.81 and 90.00 degrees. The asymmetric unit holds Ga at (0.000, 0.000, 0.000), As at (0.311, 0.000, 0.242), Au at (0.079, 0.500, 0.586) and C at (0.293, 0.500, 0.950).